1.
A geometry-optimized Th2Al2ZnIr5 structure, computed with PBE-GGA.

Output
**Space-group type**: P4/mbm (127)
**Energy of formation from the pure elements**: -0.65 eV/atom

extended XYZ file:
```
20
Lattice="9.850 0.000 0.000 0.000 9.850 0.000 0.000 0.000 3.678" Properties=species:S:1:pos:R:3 pbc="T T T"
Th 1.762 3.163 0.000
Th 3.163 8.088 0.000
Th 6.687 1.762 0.000
Th 8.088 6.687 0.000
Al 1.182 6.107 0.000
Al 3.743 1.182 0.000
Al 6.107 8.669 0.000
Al 8.669 3.743 0.000
Zn 0.000 0.000 0.000
Zn 4.925 4.925 0.000
Ir 0.000 4.925 1.839
Ir 0.660 7.790 1.839
Ir 2.060 0.660 1.839
Ir 2.865 5.586 1.839
Ir 4.265 2.865 1.839
Ir 4.925 0.000 1.839
Ir 5.586 6.985 1.839
Ir 6.985 4.265 1.839
Ir 7.790 9.190 1.839
Ir 9.190 2.060 1.839
```


2.
A geometry-optimized PaGaFeIr structure, computed with PBE-GGA.

Output
**Space-group type**: F-43m (216)
**Energy of formation from the pure elements**: -0.34 eV/atom

extended XYZ file:
```
4
Lattice="0.000 3.254 3.254 3.254 0.000 3.254 3.254 3.254 0.000" Properties=species:S:1:pos:R:3 pbc="T T T"
Pa 0.000 0.000 0.000
Ga 3.254 3.254 3.254
Fe 4.881 4.881 4.881
Ir 1.627 1.627 1.627
```


3.
A geometry-optimized HfZn2Sb2 structure, computed with PBE-GGA.

Output
**Uncorrected formation energy**: 93 meV per atom
**Space-group type**: P4/mbm (127)

extended XYZ file:
```
10
Lattice="7.534 0.000 0.000 0.000 7.534 0.000 0.000 0.000 3.862" Properties=species:S:1:pos:R:3 pbc="T T T"
Hf 0.000 0.000 0.000
Hf 3.767 3.767 0.000
Zn 1.176 2.591 1.931
Zn 2.591 6.359 1.931
Zn 4.943 1.176 1.931
Zn 6.359 4.943 1.931
Sb 1.137 4.904 0.000
Sb 2.630 1.137 0.000
Sb 4.904 6.397 0.000
Sb 6.397 2.630 0.000
```


4.
A geometry-optimized InGaRhS4 structure, computed with PBE-GGA.

Output
**Uncorrected formation energy**: -503 meV per atom
**Space-group type**: Imma (74)

extended XYZ file:
```
14
Lattice="-3.695 3.787 5.116 3.695 -3.787 5.116 3.695 3.787 -5.116" Properties=species:S:1:pos:R:3 pbc="T T T"
In 0.000 0.000 0.000
In 0.000 3.787 0.000
Ga 3.695 1.893 1.345
Ga 0.000 1.893 3.771
Rh 1.847 1.893 -2.558
Rh 1.847 -1.893 2.558
S 3.695 -0.300 2.533
S 3.695 3.486 -2.533
S 1.820 1.893 -0.153
S 1.875 -1.893 4.963
S 1.820 5.680 0.153
S 1.875 1.893 5.269
S 0.000 0.300 7.649
S 0.000 4.087 2.583
```


5.
A geometry-optimized Pr2Ni2Ge2H structure, computed with PBE-GGA.

Output
**Space-group type**: C2/m (12)

extended XYZ file:
```
7
Lattice="5.388 -2.084 0.000 5.388 2.084 0.000 -4.680 0.000 5.415" Properties=species:S:1:pos:R:3 pbc="T T T"
Pr -0.923 0.000 1.707
Pr 7.019 0.000 3.708
Ni 2.350 0.000 1.087
Ni 3.746 0.000 4.328
Ge -0.518 0.000 4.785
Ge 6.613 0.000 0.629
H 3.048 0.000 2.707
```


6.
A geometry-optimized Ac2BeNiPt6 structure, computed with PBE-GGA.

Output
**Space-group type**: C2/m (12)
**Energy of formation from the pure elements**: -0.74 eV/atom

extended XYZ file:
```
10
Lattice="5.215 -3.021 0.000 5.215 3.021 0.000 -3.457 0.000 6.187" Properties=species:S:1:pos:R:3 pbc="T T T"
Ac 1.743 0.000 1.004
Ac 5.230 0.000 5.183
Be -1.729 0.000 3.094
Ni 5.215 0.000 0.000
Pt 0.155 0.000 4.230
Pt 2.546 1.381 4.223
Pt 4.427 1.381 1.965
Pt 2.546 -1.381 4.223
Pt 4.427 -1.381 1.965
Pt 6.817 0.000 1.957
```


7.
A geometry-optimized SnHgPbAu2 structure, computed with PBE-GGA.

Output
**Space-group type**: C2/m (12)
**Energy of formation from the pure elements**: -0.06 eV/atom

extended XYZ file:
```
10
Lattice="7.280 -2.313 0.000 7.280 2.313 0.000 -3.106 0.000 7.496" Properties=species:S:1:pos:R:3 pbc="T T T"
Sn 0.282 0.000 2.398
Sn 11.171 0.000 5.098
Hg 5.379 0.000 2.103
Hg 6.073 0.000 5.393
Pb 1.254 0.000 6.252
Pb 10.199 0.000 1.244
Au -1.600 0.000 7.360
Au 3.009 0.000 3.762
Au 8.443 0.000 3.734
Au 13.053 0.000 0.136
```


8.
A geometry-optimized BaSr2CuH structure, computed with PBE-GGA.

Output
**Space-group type**: P4/mmm (123)

extended XYZ file:
```
5
Lattice="5.203 0.000 0.000 0.000 5.203 0.000 0.000 0.000 5.796" Properties=species:S:1:pos:R:3 pbc="T T T"
Ba 0.000 0.000 0.000
Sr 0.000 2.601 2.898
Sr 2.601 0.000 2.898
Cu 2.601 2.601 0.000
H 0.000 0.000 2.898
```


9.
A geometry-optimized CaFe2SiAg structure, computed with PBE-GGA.

Output
**Uncorrected formation energy**: 872 meV per atom
**Space-group type**: P4/mmm (123)

extended XYZ file:
```
5
Lattice="4.877 0.000 0.000 0.000 4.877 0.000 0.000 0.000 4.647" Properties=species:S:1:pos:R:3 pbc="T T T"
Ca 0.000 0.000 0.000
Fe 0.000 2.439 2.324
Fe 2.439 0.000 2.324
Si 2.439 2.439 0.000
Ag 2.439 2.439 2.324
```


10.
A geometry-optimized CsHfSb2 structure, computed with PBE-GGA.

Output
**Uncorrected formation energy**: 302 meV per atom
**Space-group type**: Fm-3m (225)
**E above lowest polymorph**: 2.61 eV/f.u.

extended XYZ file:
```
4
Lattice="0.000 3.898 3.898 3.898 0.000 3.898 3.898 3.898 0.000" Properties=species:S:1:pos:R:3 pbc="T T T"
Cs 0.000 0.000 0.000
Hf 3.898 3.898 3.898
Sb 1.949 1.949 1.949
Sb 5.848 5.848 5.848
```


Number 1: final energy -7.443 eV per atom. Number 2: final energy -7.804 eV per atom. Number 3: final energy -4.056 eV per atom. Number 4: final energy -4.735 eV per atom. Number 5: final energy -5.453 eV per atom. Number 6: final energy -6.138 eV per atom. Number 7: final energy -2.976 eV per atom. Number 8: final energy -2.516 eV per atom. Number 9: final energy -4.568 eV per atom. Number 10: final energy -4.461 eV per atom.